# InCoNiAs PBE-GGA optimized geometry
data_InCoNiAs
_chemical_formula_sum 'In1 Co1 Ni1 As1'
_space_group_name_H-M_alt 'P 4 m m'
_space_group_IT_number 99
_space_group_name_Hall 'P 4 -2'
_cell_length_a 3.017
_cell_length_b 3.017
_cell_length_c 6.390
_cell_angle_alpha 90.00
_cell_angle_beta 90.00
_cell_angle_gamma 90.00
loop_
_atom_site_label
_atom_site_type_symbol
_atom_site_fract_x
_atom_site_fract_y
_atom_site_fract_z
_atom_site_occupancy
In1 In 0.000 0.000 0.000 1
Co1 Co 0.500 0.500 0.294 1
Ni1 Ni 0.500 0.500 0.716 1
As1 As 0.000 0.000 0.492 1
# - magnetization (μB per formula unit) = 0.64
# - energy relative to the elements (eV per atom) = 0.008